# CaErGaPd

A geometry-optimized CaErGaPd structure (GGA-PBE, Alexandria).

Unit cell a=3.8681 b=4.4190 c=5.8442 alpha=90.00 beta=109.33 gamma=90.00
With the nearest neighbours (Å) after each atom.
Element x y z (fractional)
1 Ca 0.1464 0.0000 0.2929  4 Ga 3.06, 3 Pd 3.07-3.11
2 Er 0.8588 0.5000 0.7175  3 Ga 3.02-3.19, 4 Pd 3.03
3 Ga 0.5696 0.5000 0.1392  2 Pd 2.72, 2 Er 3.02
4 Pd 0.4252 0.0000 0.8504  2 Ga 2.72, 4 Er 3.03

Calculated values
E_tot = -4.34 eV/atom
ΔE to the lowest computed polymorph = 0.000 eV per atom
ΔE_f = -2.6 eV/f.u.


# NaTlNO

A geometry-optimized NaTlNO structure (GGA-PBE, Alexandria).

Unit cell a=3.3228 b=3.3228 c=18.4285 alpha=90.00 beta=90.00 gamma=120.00
With the nearest neighbours (Å) after each atom.
Element x y z (fractional)
1 Na 0.0000 0.0000 0.3469  3 O 2.42, 3 N 2.62
2 Na 0.3333 0.6667 0.0136  3 O 2.42, 3 N 2.62
3 Na 0.6667 0.3333 0.6803  3 O 2.42, 3 N 2.62
4 Tl 0.0000 0.0000 0.5239  3 O 2.38, 3 N 2.42
5 Tl 0.3333 0.6667 0.1905  3 O 2.38, 3 N 2.42
6 Tl 0.6667 0.3333 0.8572  3 O 2.38, 3 N 2.42
7 N 0.0000 0.0000 0.7772  3 Tl 2.42, 3 Na 2.62
8 N 0.3333 0.6667 0.4439  3 Tl 2.42, 3 Na 2.62
9 N 0.6667 0.3333 0.1105  3 Tl 2.42, 3 Na 2.62
10 O 0.0000 0.0000 0.9335  3 Tl 2.38, 3 Na 2.42
11 O 0.3333 0.6667 0.6001  3 Tl 2.38, 3 Na 2.42
12 O 0.6667 0.3333 0.2668  3 Tl 2.38, 3 Na 2.42

Calculated values
E_tot = -4.11 eV/atom
Formation energy (no corrections) = 0.14 eV per atom
ΔE to the lowest computed polymorph = 0.257 eV per atom